Entry from the Alexandria database: AgAs2 at its PBEsol-relaxed geometry (meta-GGA SCAN).

Summary:
- Energy of formation: 0.29 eV per atom
- Theoretical density: 7.74 g/cm3
- Calculated total energy: -70.87 eV per formula unit

Unit cell a=4.8397 b=4.8397 c=2.7272 alpha=90.00 beta=90.00 gamma=120.00
Space group P6/mmm (No. 191)
One atom of each set of equivalent atoms:
Ag: 0.0000 0.0000 0.0000 (multiplicity 1)
As: 0.3333 0.6667 0.5000 (multiplicity 2)

Entry from the Alexandria database: HgSbIr2 at its PBEsol-relaxed geometry (meta-GGA SCAN).

Summary:
- Formation energy (no corrections): 0.51 eV/atom
- Theoretical density: 17.25 g/cm3
- Calculated total energy: -245.57 eV per formula unit

Unit cell a=4.3079 b=4.3079 c=3.6671 alpha=90.00 beta=90.00 gamma=90.00
Space group P4/mmm (No. 123)
One atom of each set of equivalent atoms:
Hg: 0.0000 0.0000 0.0000 (multiplicity 1)
Sb: 0.5000 0.5000 0.0000 (multiplicity 1)
Ir: 0.0000 0.5000 0.5000 (multiplicity 2)